## Li4ScCd5 (PBE-GGA)

Data for an optimized crystal structure of Li4ScCd5.

The structure in CIF format:
```
data_Li4ScCd5
_chemical_formula_sum 'Li4 Sc1 Cd5'
_cell_length_a 3.382
_cell_length_b 3.382
_cell_length_c 16.644
_cell_angle_alpha 90.00
_cell_angle_beta 90.00
_cell_angle_gamma 90.00
_space_group_name_H-M_alt 'P 1'
_space_group_IT_number 1
loop_
_space_group_symop_operation_xyz
'x,y,z'
loop_
_atom_site_label
_atom_site_type_symbol
_atom_site_fract_x
_atom_site_fract_y
_atom_site_fract_z
_atom_site_occupancy
Sc1 Sc 0.000 0.000 0.000 1
Cd1 Cd 0.500 0.500 0.690 1
Cd2 Cd 0.500 0.500 0.883 1
Cd3 Cd 0.500 0.500 0.117 1
Cd4 Cd 0.500 0.500 0.500 1
Cd5 Cd 0.500 0.500 0.310 1
Li1 Li 0.000 0.000 0.788 1
Li2 Li 0.000 0.000 0.212 1
Li3 Li 0.000 0.000 0.405 1
Li4 Li 0.000 0.000 0.595 1
```

Summary:
Theoretical density (g/cm³): 5.5
E (eV/cell): -21.1

---

## LiSc2Cd (PBE-GGA)

Data for an optimized crystal structure of LiSc2Cd.

The structure in CIF format:
```
data_LiSc2Cd
_chemical_formula_sum 'Li1 Sc2 Cd1'
_cell_length_a 5.457
_cell_length_b 5.457
_cell_length_c 5.457
_cell_angle_alpha 132.72
_cell_angle_beta 132.72
_cell_angle_gamma 69.10
_space_group_name_H-M_alt 'P 1'
_space_group_IT_number 1
loop_
_space_group_symop_operation_xyz
'x,y,z'
loop_
_atom_site_label
_atom_site_type_symbol
_atom_site_fract_x
_atom_site_fract_y
_atom_site_fract_z
_atom_site_occupancy
Cd1 Cd 0.500 0.500 0.000 1
Li1 Li 0.750 0.250 0.500 1
Sc1 Sc 0.250 0.750 0.500 1
Sc2 Sc 0.000 0.000 0.000 1
```

Summary:
Theoretical density (g/cm³): 4.0
E (eV/cell): -15.5

---

## LiSc2Cd (PBE-GGA)

Data for an optimized crystal structure of LiSc2Cd.

The structure in CIF format:
```
data_LiSc2Cd
_chemical_formula_sum 'Li1 Sc2 Cd1'
_cell_length_a 4.942
_cell_length_b 4.942
_cell_length_c 4.942
_cell_angle_alpha 60.00
_cell_angle_beta 60.00
_cell_angle_gamma 60.00
_space_group_name_H-M_alt 'P 1'
_space_group_IT_number 1
loop_
_space_group_symop_operation_xyz
'x,y,z'
loop_
_atom_site_label
_atom_site_type_symbol
_atom_site_fract_x
_atom_site_fract_y
_atom_site_fract_z
_atom_site_occupancy
Li1 Li 0.750 0.750 0.750 1
Sc1 Sc 0.250 0.250 0.250 1
Sc2 Sc 0.000 0.000 0.000 1
Cd1 Cd 0.500 0.500 0.500 1
```

Summary:
Theoretical density (g/cm³): 4.1
E (eV/cell): -15.4

---

## LiScCd2 (PBE-GGA)

Data for an optimized crystal structure of LiScCd2.

The structure in CIF format:
```
data_LiScCd2
_chemical_formula_sum 'Li1 Sc1 Cd2'
_cell_length_a 3.562
_cell_length_b 3.562
_cell_length_c 6.598
_cell_angle_alpha 90.00
_cell_angle_beta 90.00
_cell_angle_gamma 90.00
_space_group_name_H-M_alt 'P 1'
_space_group_IT_number 1
loop_
_space_group_symop_operation_xyz
'x,y,z'
loop_
_atom_site_label
_atom_site_type_symbol
_atom_site_fract_x
_atom_site_fract_y
_atom_site_fract_z
_atom_site_occupancy
Cd1 Cd 0.000 0.000 0.999 1
Cd2 Cd 0.500 0.500 0.275 1
Li1 Li 0.000 0.000 0.472 1
Sc1 Sc 0.500 0.500 0.753 1
```

Summary:
Theoretical density (g/cm³): 5.5
E (eV/cell): -10.6

---

## LiSc2Cd (PBE-GGA)

Data for an optimized crystal structure of LiSc2Cd.

The structure in CIF format:
```
data_LiSc2Cd
_chemical_formula_sum 'Li2 Sc4 Cd2'
_cell_length_a 3.292
_cell_length_b 5.594
_cell_length_c 10.442
_cell_angle_alpha 108.14
_cell_angle_beta 89.99
_cell_angle_gamma 107.13
_space_group_name_H-M_alt 'P 1'
_space_group_IT_number 1
loop_
_space_group_symop_operation_xyz
'x,y,z'
loop_
_atom_site_label
_atom_site_type_symbol
_atom_site_fract_x
_atom_site_fract_y
_atom_site_fract_z
_atom_site_occupancy
Li1 Li 0.365 0.731 0.033 1
Li2 Li 0.635 0.269 0.967 1
Sc1 Sc 0.156 0.310 0.711 1
Sc2 Sc 0.844 0.690 0.289 1
Sc3 Sc 0.385 0.772 0.563 1
Sc4 Sc 0.615 0.228 0.437 1
Cd1 Cd 0.911 0.823 0.826 1
Cd2 Cd 0.089 0.177 0.174 1
```

Summary:
Theoretical density (g/cm³): 4.0
E (eV/cell): -31.8

---

## Li2ScCd5 (PBE-GGA)

Data for an optimized crystal structure of Li2ScCd5.

The structure in CIF format:
```
data_Li2ScCd5
_chemical_formula_sum 'Li2 Sc1 Cd5'
_cell_length_a 4.569
_cell_length_b 4.569
_cell_length_c 8.326
_cell_angle_alpha 105.93
_cell_angle_beta 105.93
_cell_angle_gamma 90.00
_space_group_name_H-M_alt 'P 1'
_space_group_IT_number 1
loop_
_space_group_symop_operation_xyz
'x,y,z'
loop_
_atom_site_label
_atom_site_type_symbol
_atom_site_fract_x
_atom_site_fract_y
_atom_site_fract_z
_atom_site_occupancy
Li1 Li 0.248 0.248 0.495 1
Li2 Li 0.752 0.752 0.505 1
Cd1 Cd 0.137 0.637 0.275 1
Cd2 Cd 0.637 0.137 0.275 1
Cd3 Cd 0.863 0.363 0.725 1
Cd4 Cd 0.500 0.500 0.000 1
Cd5 Cd 0.363 0.863 0.725 1
Sc1 Sc 0.000 0.000 0.000 1
```

Summary:
Theoretical density (g/cm³): 6.4
E (eV/cell): -16.5

---

## LiSc3Cd (PBE-GGA)

Data for an optimized crystal structure of LiSc3Cd.

The structure in CIF format:
```
data_LiSc3Cd
_chemical_formula_sum 'Li1 Sc3 Cd1'
_cell_length_a 4.956
_cell_length_b 4.956
_cell_length_c 4.956
_cell_angle_alpha 90.00
_cell_angle_beta 90.00
_cell_angle_gamma 90.00
_space_group_name_H-M_alt 'P 1'
_space_group_IT_number 1
loop_
_space_group_symop_operation_xyz
'x,y,z'
loop_
_atom_site_label
_atom_site_type_symbol
_atom_site_fract_x
_atom_site_fract_y
_atom_site_fract_z
_atom_site_occupancy
Sc1 Sc 0.500 0.000 0.000 1
Sc2 Sc 0.000 0.500 0.000 1
Sc3 Sc 0.000 0.000 0.500 1
Li1 Li 0.000 0.000 0.000 1
Cd1 Cd 0.500 0.500 0.500 1
```

Summary:
Energy relative to the lowest polymorph listed for this composition (meV/atom): 0
Theoretical density (g/cm³): 3.5

---

## LiSc2Cd (PBE-GGA)

Data for an optimized crystal structure of LiSc2Cd.

The structure in CIF format:
```
data_LiSc2Cd
_chemical_formula_sum 'Li1 Sc2 Cd1'
_cell_length_a 11.113
_cell_length_b 11.113
_cell_length_c 11.113
_cell_angle_alpha 16.55
_cell_angle_beta 16.55
_cell_angle_gamma 16.55
_space_group_name_H-M_alt 'P 1'
_space_group_IT_number 1
loop_
_space_group_symop_operation_xyz
'x,y,z'
loop_
_atom_site_label
_atom_site_type_symbol
_atom_site_fract_x
_atom_site_fract_y
_atom_site_fract_z
_atom_site_occupancy
Cd1 Cd 0.500 0.500 0.500 1
Sc1 Sc 0.091 0.091 0.091 1
Sc2 Sc 0.909 0.909 0.909 1
Li1 Li 0.000 0.000 0.000 1
```

Summary:
Theoretical density (g/cm³): 3.6
E (eV/cell): -15.0

---

## LiScCd3 (PBE-GGA)

Data for an optimized crystal structure of LiScCd3.

The structure in CIF format:
```
data_LiScCd3
_chemical_formula_sum 'Li1 Sc1 Cd3'
_cell_length_a 5.600
_cell_length_b 5.600
_cell_length_c 5.600
_cell_angle_alpha 90.00
_cell_angle_beta 90.00
_cell_angle_gamma 90.00
_space_group_name_H-M_alt 'P 1'
_space_group_IT_number 1
loop_
_space_group_symop_operation_xyz
'x,y,z'
loop_
_atom_site_label
_atom_site_type_symbol
_atom_site_fract_x
_atom_site_fract_y
_atom_site_fract_z
_atom_site_occupancy
Cd1 Cd 0.000 0.000 0.500 1
Cd2 Cd 0.000 0.500 0.000 1
Cd3 Cd 0.500 0.000 0.000 1
Li1 Li 0.500 0.500 0.500 1
Sc1 Sc 0.000 0.000 0.000 1
```

Summary:
Energy relative to the lowest polymorph listed for this composition (meV/atom): 705
Theoretical density (g/cm³): 3.7

---

## Li8ScCd6 (PBE-GGA)

Data for an optimized crystal structure of Li8ScCd6.

The structure in CIF format:
```
data_Li8ScCd6
_chemical_formula_sum 'Li8 Sc1 Cd6'
_cell_length_a 7.401
_cell_length_b 7.401
_cell_length_c 7.636
_cell_angle_alpha 61.01
_cell_angle_beta 61.01
_cell_angle_gamma 60.00
_space_group_name_H-M_alt 'P 1'
_space_group_IT_number 1
loop_
_space_group_symop_operation_xyz
'x,y,z'
loop_
_atom_site_label
_atom_site_type_symbol
_atom_site_fract_x
_atom_site_fract_y
_atom_site_fract_z
_atom_site_occupancy
Cd1 Cd 0.864 0.368 0.160 1
Cd2 Cd 0.136 0.632 0.840 1
Cd3 Cd 0.608 0.864 0.160 1
Cd4 Cd 0.368 0.608 0.160 1
Cd5 Cd 0.632 0.392 0.840 1
Cd6 Cd 0.392 0.136 0.840 1
Li1 Li 0.136 0.875 0.389 1
Li2 Li 0.600 0.136 0.389 1
Li3 Li 0.875 0.600 0.389 1
Li4 Li 0.400 0.864 0.611 1
Li5 Li 0.262 0.262 0.215 1
Li6 Li 0.738 0.738 0.785 1
Li7 Li 0.864 0.125 0.611 1
Li8 Li 0.125 0.400 0.611 1
Sc1 Sc 0.000 0.000 0.000 1
```

Summary:
Theoretical density (g/cm³): 4.3
E (eV/cell): -28.8

---

## LiSc5Cd6 (PBE-GGA)

Data for an optimized crystal structure of LiSc5Cd6.

The structure in CIF format:
```
data_LiSc5Cd6
_chemical_formula_sum 'Li1 Sc5 Cd6'
_cell_length_a 4.962
_cell_length_b 8.581
_cell_length_c 8.581
_cell_angle_alpha 119.73
_cell_angle_beta 106.83
_cell_angle_gamma 106.83
_space_group_name_H-M_alt 'P 1'
_space_group_IT_number 1
loop_
_space_group_symop_operation_xyz
'x,y,z'
loop_
_atom_site_label
_atom_site_type_symbol
_atom_site_fract_x
_atom_site_fract_y
_atom_site_fract_z
_atom_site_occupancy
Cd1 Cd 0.238 0.398 0.077 1
Cd2 Cd 0.734 0.234 0.234 1
Cd3 Cd 0.238 0.077 0.398 1
Cd4 Cd 0.762 0.923 0.602 1
Cd5 Cd 0.762 0.602 0.923 1
Cd6 Cd 0.266 0.766 0.766 1
Sc1 Sc 0.500 0.827 0.173 1
Sc2 Sc 0.000 0.664 0.336 1
Sc3 Sc 0.000 0.336 0.664 1
Sc4 Sc 0.500 0.500 0.500 1
Sc5 Sc 0.500 0.173 0.827 1
Li1 Li 0.000 0.000 0.000 1
```

Summary:
Theoretical density (g/cm³): 5.8
E (eV/cell): -42.4

---

## LiScCd (PBE-GGA)

Data for an optimized crystal structure of LiScCd.

The structure in CIF format:
```
data_LiScCd
_chemical_formula_sum 'Li1 Sc1 Cd1'
_cell_length_a 5.427
_cell_length_b 5.427
_cell_length_c 5.427
_cell_angle_alpha 141.53
_cell_angle_beta 141.62
_cell_angle_gamma 55.47
_space_group_name_H-M_alt 'P 1'
_space_group_IT_number 1
loop_
_space_group_symop_operation_xyz
'x,y,z'
loop_
_atom_site_label
_atom_site_type_symbol
_atom_site_fract_x
_atom_site_fract_y
_atom_site_fract_z
_atom_site_occupancy
Cd1 Cd 0.990 0.990 0.000 1
Sc1 Sc 0.666 0.666 0.000 1
Li1 Li 0.345 0.345 0.000 1
```

Summary:
Energy relative to the lowest polymorph listed for this composition (meV/atom): 36
Theoretical density (g/cm³): 4.5